Crystalline Ce3PCO at its relaxed geometry. Source: Alexandria, functional PBE.

Cell lengths 7.7723, 3.8772, 8.5806 Å; angles 90.00, 103.95, 90.00 degrees
Closest atoms and distances in Å follow each position.
Element x y z (fractional)
Ce 0.0608 0.2500 0.3460  3 C 2.45-2.63
Ce 0.2882 0.2500 0.9725  3 O 2.28-2.37
Ce 0.3875 0.7500 0.6345  1 O 2.28
Ce 0.6125 0.2500 0.3655  1 O 2.28
Ce 0.7118 0.7500 0.0275  3 O 2.28-2.37
Ce 0.9392 0.7500 0.6540  3 C 2.45-2.63
P 0.3126 0.7500 0.2702  7 Ce 2.94-3.18
P 0.6874 0.2500 0.7298  7 Ce 2.94-3.18
C 0.1632 0.2500 0.6390  5 Ce 2.45-2.63
C 0.8368 0.7500 0.3610  5 Ce 2.45-2.63
O 0.4045 0.7500 0.9031  4 Ce 2.28-2.37
O 0.5955 0.2500 0.0969  4 Ce 2.28-2.37

Values from the calculation:
Volume ... 250.9 Å³ per cell
Mass density ... 6344 kg/m3
Total magnetic moment ... 5.2 Bohr magnetons per cell
Final energy ... -7.626 eV/atom

=====

Crystalline Sr3CePC3O13 at its relaxed geometry. Source: Alexandria, functional PBE.

Cell lengths 6.6586, 6.6586, 6.6586 Å; angles 99.99, 99.99, 99.99 degrees
Closest atoms and distances in Å follow each position.
Element x y z (fractional)
Sr 0.1849 0.1849 0.6303  9 O 2.52-2.80
Sr 0.1849 0.6303 0.1849  9 O 2.52-2.80
Sr 0.6303 0.1849 0.1849  9 O 2.52-2.80
Ce 0.7112 0.7112 0.7112  4 O 2.37-2.55
P 0.1299 0.1299 0.1299  4 O 1.54-1.56
C 0.1442 0.6439 0.6439  3 O 1.29-1.30
C 0.6439 0.1442 0.6439  3 O 1.29-1.30
C 0.6439 0.6439 0.1442  3 O 1.29-1.30
O 0.0235 0.2710 0.2710  1 P 1.56
O 0.0530 0.5515 0.7709  1 C 1.30
O 0.0530 0.7709 0.5515  1 C 1.30
O 0.2710 0.0235 0.2710  1 P 1.56
O 0.2710 0.2710 0.0235  1 P 1.56
O 0.3150 0.5992 0.5992  1 C 1.29
O 0.5515 0.0530 0.7710  1 C 1.30
O 0.5515 0.7710 0.0530  1 C 1.30
O 0.5992 0.3150 0.5992  1 C 1.29
O 0.5992 0.5992 0.3150  1 C 1.29
O 0.7710 0.0530 0.5515  1 C 1.30
O 0.7710 0.5515 0.0530  1 C 1.30
O 0.9651 0.9651 0.9651  1 P 1.54

Values from the calculation:
Volume ... 279.9 Å³ per cell
Mass density ... 4022 kg/m3
Total magnetic moment ... 1.0 Bohr magnetons per cell
Final energy ... -7.627 eV/atom

=====

Crystalline CePaCO2 at its relaxed geometry. Source: Alexandria, functional PBE.

Cell lengths 6.3324, 6.3324, 6.3324 Å; angles 147.30, 147.30, 46.92 degrees
Closest atoms and distances in Å follow each position.
Element x y z (fractional)
Ce 0.0000 0.0000 0.0000  4 O 2.33
Pa 0.7481 0.7481 0.0000  4 O 2.26
C 0.3576 0.3576 0.0000  4 Pa 2.82, 4 Ce 3.01
O 0.1291 0.6291 0.5000  2 Pa 2.26, 2 Ce 2.33, 4 O 2.52
O 0.6291 0.1291 0.5000  2 Pa 2.26, 2 Ce 2.33, 4 O 2.52

Values from the calculation:
Volume ... 73.8 Å³ per cell
Mass density ... 9339 kg/m3
Total magnetic moment ... 0.9 Bohr magnetons per cell
Final energy ... -8.769 eV/atom

=====

Crystalline CePaCO at its relaxed geometry. Source: Alexandria, functional PBE.

Cell lengths 4.0489, 4.0489, 8.6625 Å; angles 90.00, 90.00, 90.00 degrees
Closest atoms and distances in Å follow each position.
Element x y z (fractional)
Ce 0.2500 0.2500 0.1366  4 O 2.34
Ce 0.7500 0.7500 0.8634  4 O 2.34
Pa 0.2500 0.7500 0.5000  4 C 2.47
Pa 0.7500 0.2500 0.5000  4 C 2.47
C 0.2500 0.2500 0.6632  4 Pa 2.47
C 0.7500 0.7500 0.3368  4 Pa 2.47
O 0.2500 0.7500 0.0000  4 Ce 2.34
O 0.7500 0.2500 0.0000  4 Ce 2.34

Values from the calculation:
Volume ... 142.0 Å³ per cell
Mass density ... 9335 kg/m3
Total magnetic moment ... 1.4 Bohr magnetons per cell
Final energy ... -8.640 eV/atom

=====

Crystalline Ce6Pb2CO at its relaxed geometry. Source: Alexandria, functional PBE.

Cell lengths 7.0055, 7.0055, 7.0055 Å; angles 60.00, 60.00, 60.00 degrees
Closest atoms and distances in Å follow each position.
Element x y z (fractional)
Ce 0.2497 0.2497 0.7503  1 C 2.47, 1 O 2.48
Ce 0.2497 0.7503 0.2497  1 C 2.47, 1 O 2.48
Ce 0.2497 0.7503 0.7503  1 C 2.47, 1 O 2.48
Ce 0.7503 0.2497 0.2497  1 C 2.47, 1 O 2.48
Ce 0.7503 0.2497 0.7503  1 C 2.47, 1 O 2.48
Ce 0.7503 0.7503 0.2497  1 C 2.47, 1 O 2.48
Pb 0.2500 0.2500 0.2500  12 Ce 3.50
Pb 0.7500 0.7500 0.7500  12 Ce 3.50
C 0.0000 0.0000 0.0000  6 Ce 2.47
O 0.5000 0.5000 0.5000  6 Ce 2.48

Values from the calculation:
Volume ... 243.1 Å³ per cell
Mass density ... 8764 kg/m3
Total magnetic moment ... 4.2 Bohr magnetons per cell
Final energy ... -6.617 eV/atom

=====

Crystalline CePmCO at its relaxed geometry. Source: Alexandria, functional PBE.

Cell lengths 6.2374, 6.2374, 6.2374 Å; angles 33.93, 33.93, 33.93 degrees
Closest atoms and distances in Å follow each position.
Element x y z (fractional)
Ce 0.0000 0.0000 0.0000  3 C 2.50, 3 O 2.56
Pm 0.5015 0.5015 0.5015  3 O 2.58, 3 C 2.62
C 0.2567 0.2567 0.2567  3 Ce 2.50, 3 Pm 2.62
O 0.7497 0.7497 0.7497  3 Ce 2.56, 3 Pm 2.58

Values from the calculation:
Volume ... 67.4 Å³ per cell
Mass density ... 7716 kg/m3
Total magnetic moment ... 0.0 Bohr magnetons per cell
Final energy ... -7.781 eV/atom

=====

Crystalline CePrCO at its relaxed geometry. Source: Alexandria, functional PBE.

Cell lengths 3.6328, 3.6328, 5.2368 Å; angles 90.00, 90.00, 90.00 degrees
Closest atoms and distances in Å follow each position.
Element x y z (fractional)
Ce 0.0000 0.0000 0.0000  4 C 2.57, 2 O 2.62
Pr 0.5000 0.5000 0.5000  4 O 2.57, 2 C 2.62
C 0.5000 0.5000 0.0000  4 Ce 2.57, 2 Pr 2.62
O 0.0000 0.0000 0.5000  4 Pr 2.57, 2 Ce 2.62

Values from the calculation:
Volume ... 69.1 Å³ per cell
Mass density ... 7425 kg/m3
Total magnetic moment ... 0.0 Bohr magnetons per cell
Final energy ... -7.738 eV/atom

=====

Crystalline CePuCO at its relaxed geometry. Source: Alexandria, functional PBE.

Cell lengths 3.6125, 3.6125, 4.9758 Å; angles 90.00, 90.00, 90.00 degrees
Closest atoms and distances in Å follow each position.
Element x y z (fractional)
Ce 0.0000 0.0000 0.0000  2 O 2.49, 4 C 2.55
Pu 0.5000 0.5000 0.5000  2 C 2.49, 4 O 2.55
C 0.5000 0.5000 0.0000  2 Pu 2.49, 4 Ce 2.55
O 0.0000 0.0000 0.5000  2 Ce 2.49, 4 Pu 2.55

Values from the calculation:
Volume ... 64.9 Å³ per cell
Mass density ... 10539 kg/m3
Total magnetic moment ... 5.4 Bohr magnetons per cell
Final energy ... -10.008 eV/atom

=====

Crystalline RbCeC2O6 at its relaxed geometry. Source: Alexandria, functional PBE.

Cell lengths 6.6879, 6.6879, 7.3603 Å; angles 104.06, 104.06, 95.98 degrees
Closest atoms and distances in Å follow each position.
Element x y z (fractional)
Rb 0.1195 0.8805 0.7500  8 O 2.95-3.26, 2 C 3.29
Rb 0.8805 0.1195 0.2500  8 O 2.95-3.26, 2 C 3.29
Ce 0.3989 0.6011 0.2500  8 O 2.41-2.65
Ce 0.6011 0.3989 0.7500  8 O 2.41-2.65
C 0.1497 0.3915 0.7478  3 O 1.28-1.32
C 0.3915 0.1497 0.2478  3 O 1.28-1.32
C 0.6085 0.8503 0.7522  3 O 1.28-1.32
C 0.8503 0.6085 0.2522  3 O 1.28-1.32
O 0.0453 0.6034 0.2710  1 C 1.28
O 0.2142 0.2583 0.6248  1 C 1.30
O 0.2583 0.2142 0.1248  1 C 1.30
O 0.2946 0.5271 0.8921  1 C 1.32
O 0.3966 0.9547 0.2290  1 C 1.28
O 0.4729 0.7054 0.6079  1 C 1.32
O 0.5271 0.2946 0.3921  1 C 1.32
O 0.6034 0.0453 0.7710  1 C 1.28
O 0.7054 0.4729 0.1079  1 C 1.32
O 0.7417 0.7858 0.8752  1 C 1.30
O 0.7858 0.7417 0.3752  1 C 1.30
O 0.9547 0.3966 0.7290  1 C 1.28

Values from the calculation:
Volume ... 305.1 Å³ per cell
Mass density ... 3762 kg/m3
Total magnetic moment ... 2.0 Bohr magnetons per cell
Final energy ... -7.602 eV/atom

=====

Crystalline Ce6C3S2O at its relaxed geometry. Source: Alexandria, functional PBE.

Cell lengths 8.4651, 8.4651, 7.6080 Å; angles 103.48, 103.48, 25.62 degrees
Closest atoms and distances in Å follow each position.
Element x y z (fractional)
Ce 0.0062 0.0062 0.2538  3 C 2.51-2.68, 2 O 2.67, 1 S 2.78
Ce 0.3344 0.3344 0.4388  3 C 2.52-2.75, 1 O 2.66, 2 S 2.79
Ce 0.3420 0.3420 0.8994  3 C 2.54-2.59, 3 S 2.80-2.81
Ce 0.6580 0.6580 0.1006  3 C 2.54-2.59, 3 S 2.80-2.81
Ce 0.6656 0.6656 0.5612  3 C 2.52-2.75, 1 O 2.66, 2 S 2.79
Ce 0.9938 0.9938 0.7462  3 C 2.51-2.68, 2 O 2.67, 1 S 2.78
C 0.1627 0.1627 0.3378  6 Ce 2.51-2.75
C 0.5000 0.5000 0.0000  6 Ce 2.54-2.68
C 0.8373 0.8373 0.6622  6 Ce 2.51-2.75
S 0.1673 0.1673 0.8333  6 Ce 2.78-2.81
S 0.8327 0.8327 0.1667  6 Ce 2.78-2.81
O 0.5000 0.5000 0.5000  6 Ce 2.66-2.67

Values from the calculation:
Volume ... 228.9 Å³ per cell
Mass density ... 6942 kg/m3
Total magnetic moment ... 0.3 Bohr magnetons per cell
Final energy ... -7.596 eV/atom

=====

Question: The lowest volume belongs to which entry?
Answer: CePuCO

=====

Question: The lowest volume belongs to which entry?
Answer: CePuCO